## BiRh2Pb (PBE)

Data for a geometry-optimized BiRh2Pb structure.

## Properties
As for the energy relative to the elements: 0.108 eV/atom. The total magnetization is 0.000 μB/atom. The calculation puts the mass density at 12.09 g cm⁻³. The total energy is -21.9 eV per cell.

a = 7.442 Å, b = 7.442 Å, c = 7.442 Å
α = 28.95°, β = 28.95°, γ = 28.95°
Sites, in units of the cell vectors:
Bi  0.000  0.000  0.000
Rh  0.418  0.418  0.418
Rh  0.579  0.579  0.579
Pb  0.831  0.831  0.831